1.
V3CuPd6: optimized geometry, PBE.

Values from the calculation:
Fermi-level density of states: 10.30 states/eV per cell
volume: 145.3 Å³/cell
total magnetization: 0.0 μB per formula unit
ρ: 9.8 g cm⁻³

Lattice parameters (Å, degrees): 2.7678 2.7678 21.9000 90.00 90.00 120.00
Last column: nearest neighbours and their distance in Å.
Space group P-3m1 (No. 164)
Inequivalent atoms, fractional coordinates:
V 0.0000 0.0000 0.0000 x1  6 Pd 2.65, 6 V 2.77
V 0.0000 0.0000 0.3031 x2  6 Pd 2.65-2.67, 6 V 2.77
Cu 0.0000 0.0000 0.5000 x1  6 Pd 2.70, 6 Cu 2.77
Pd 0.3333 0.6667 0.0965 x2  3 V 2.65, 9 Pd 2.77-2.90
Pd 0.3333 0.6667 0.4007 x2  3 V 2.67, 3 Cu 2.70, 6 Pd 2.77
Pd 0.3333 0.6667 0.7932 x2  3 V 2.65, 9 Pd 2.77-2.90



2.
VCu4Pd9: optimized geometry, PBE.

Values from the calculation:
Fermi-level density of states: 10.93 states/eV per cell
volume: 408.2 Å³/cell
total magnetization: 0.0 μB per formula unit
ρ: 10.3 g cm⁻³

Lattice parameters (Å, degrees): 7.5605 7.5605 8.2464 90.00 90.00 120.00
Last column: nearest neighbours and their distance in Å.
Space group P6_3/mmc (No. 194)
Inequivalent atoms, fractional coordinates:
V 0.3333 0.6667 0.2500 x2  9 Pd 2.43-2.62
Cu 0.0000 0.0000 0.0000 x2  6 Cu 2.51, 6 Pd 2.69
Cu 0.1091 0.2181 0.7500 x6  4 Cu 2.47-2.51, 4 Pd 2.56-2.69
Pd 0.0661 0.5331 0.7500 x6  2 Cu 2.56, 1 V 2.62
Pd 0.2037 0.4074 0.0400 x12  1 V 2.43, 2 Cu 2.69



3.
VCuPd4: optimized geometry, PBE.

Values from the calculation:
Fermi-level density of states: 11.13 states/eV per cell
volume: 298.1 Å³/cell
total magnetization: 0.0 μB per formula unit
ρ: 9.0 g cm⁻³

Lattice parameters (Å, degrees): 4.1384 4.1384 20.0960 90.00 90.00 120.00
Last column: nearest neighbours and their distance in Å.
Space group R-3m (No. 166, hexagonal axes)
Inequivalent atoms, fractional coordinates:
V 0.0000 0.0000 0.0000 x3  8 Pd 2.45-2.53
Cu 0.0000 0.0000 0.5000 x3  8 Pd 2.53-2.55
Pd 0.0000 0.0000 0.1221 x6  1 V 2.45, 3 Cu 2.55
Pd 0.0000 0.0000 0.3742 x6  3 V 2.53, 1 Cu 2.53



4.
V3Cu2Pd8: optimized geometry, PBE.

Values from the calculation:
Fermi-level density of states: 39.52 states/eV per cell
volume: 630.7 Å³/cell
total magnetization: 3.8 μB per formula unit
ρ: 8.9 g cm⁻³

Lattice parameters (Å, degrees): 5.1907 5.1907 27.0294 90.00 90.00 120.00
Last column: nearest neighbours and their distance in Å.
Space group R-3m (No. 166, hexagonal axes)
Inequivalent atoms, fractional coordinates:
V 0.0000 0.0000 0.0000 x3  6 Cu 3.13, 12 Pd 3.36-3.38
V 0.0000 0.0000 0.1890 x6  4 Pd 2.38-2.57
Cu 0.0000 0.0000 0.3666 x6  4 Pd 2.42-2.60
Pd 0.0000 0.0000 0.2769 x6  1 V 2.38, 1 Cu 2.42
Pd 0.0004 0.5002 0.2213 x18  3 V 2.57-2.74, 4 Pd 2.59-2.60, 1 Cu 2.60



5.
VCu3Pd2: optimized geometry, PBE.

Values from the calculation:
Fermi-level density of states: 13.70 states/eV per cell
volume: 322.8 Å³/cell
total magnetization: 1.1 μB per formula unit
ρ: 9.4 g cm⁻³

Lattice parameters (Å, degrees): 7.8951 3.5025 11.6715 90.00 90.00 90.00
Last column: nearest neighbours and their distance in Å.
Space group Pnma (No. 62)
Inequivalent atoms, fractional coordinates:
V 0.0049 0.2500 0.0788 x4  2 V 2.54, 5 Pd 2.62-2.77, 5 Cu 2.68-2.83
Cu 0.0085 0.2500 0.4208 x4  6 Cu 2.55-2.81, 5 Pd 2.66-2.67
Cu 0.2479 0.7500 0.4126 x4  5 Cu 2.54-2.81, 4 Pd 2.64-2.74, 3 V 2.68-2.75
Cu 0.2488 0.7500 0.7546 x4  3 Cu 2.54-2.73, 6 Pd 2.63-2.67, 2 V 2.79-2.83
Pd 0.0003 0.2500 0.7519 x4  8 Cu 2.63-2.74, 2 V 2.64, 2 Pd 2.78
Pd 0.2475 0.2500 0.5819 x4  3 V 2.62-2.77, 7 Cu 2.64-2.67, 2 Pd 2.78



6.
VCu2Pd2: optimized geometry, PBE.

Values from the calculation:
Fermi-level density of states: 11.16 states/eV per cell
volume: 137.3 Å³/cell
total magnetization: 0.0 μB per formula unit
ρ: 9.5 g cm⁻³

Lattice parameters (Å, degrees): 3.9400 12.9630 2.6890 90.00 90.00 90.00
Last column: nearest neighbours and their distance in Å.
Space group Cmmm (No. 65)
Inequivalent atoms, fractional coordinates:
V 0.0000 0.0000 0.0000 x2  2 Cu 2.57, 2 V 2.69, 8 Pd 2.75
Cu 0.0000 0.1983 0.0000 x4  2 Cu 2.38, 1 V 2.57
Pd 0.0000 0.3941 0.5000 x4  6 Cu 2.67-2.87, 3 Pd 2.69-2.75, 4 V 2.75



7.
VCu4Pd7: optimized geometry, PBE.

Values from the calculation:
Fermi-level density of states: 14.41 states/eV per cell
volume: 360.5 Å³/cell
total magnetization: 1.4 μB per formula unit
ρ: 9.7 g cm⁻³

Lattice parameters (Å, degrees): 12.0934 4.5832 7.4356 90.00 119.00 90.00
Last column: nearest neighbours and their distance in Å.
Space group C2/m (No. 12)
Inequivalent atoms, fractional coordinates:
V 0.0000 0.0000 0.0000 x2  4 Pd 2.29-2.55
Cu 0.0421 0.5000 0.6918 x4  6 Pd 2.51-2.74, 2 Cu 2.52-2.54
Cu 0.1816 0.5000 0.3592 x4  7 Pd 2.50-2.74, 1 Cu 2.54
Pd 0.0000 0.5000 0.0000 x2  2 V 2.29, 2 Cu 2.50
Pd 0.0785 0.0000 0.4184 x4  5 Cu 2.55-2.74, 3 Pd 2.70-2.77, 1 V 2.78
Pd 0.1781 0.0000 0.8605 x4  5 Pd 2.67-2.90, 3 Cu 2.74-2.87, 1 V 2.81
Pd 0.2362 0.0000 0.2555 x4  4 Cu 2.51-2.60, 1 V 2.55, 2 Pd 2.67-2.71



8.
VCu4Pd5: optimized geometry, PBE.

Values from the calculation:
Fermi-level density of states: 5.42 states/eV per cell
volume: 139.5 Å³/cell
total magnetization: 1.5 μB per formula unit
ρ: 10.0 g cm⁻³

Lattice parameters (Å, degrees): 3.0755 3.0755 14.7443 90.00 90.00 90.00
Last column: nearest neighbours and their distance in Å.
Space group P4/mmm (No. 123)
Inequivalent atoms, fractional coordinates:
V 0.0000 0.0000 0.0000 x1  8 Pd 2.65
Cu 0.0000 0.0000 0.2042 x2  8 Pd 2.60-2.64, 1 Cu 2.90
Cu 0.0000 0.0000 0.4010 x2  8 Pd 2.62-2.63, 2 Cu 2.90-2.92
Pd 0.5000 0.5000 0.1022 x2  4 Cu 2.64, 4 V 2.65, 1 Pd 2.93
Pd 0.5000 0.5000 0.3011 x2  8 Cu 2.60-2.63
Pd 0.5000 0.5000 0.5000 x1  8 Cu 2.62, 2 Pd 2.93



9.
VCuPd: optimized geometry, PBE.

Values from the calculation:
Fermi-level density of states: 4.28 states/eV per cell
volume: 82.1 Å³/cell
total magnetization: 0.4 μB per formula unit
ρ: 8.9 g cm⁻³

Lattice parameters (Å, degrees): 3.0519 3.0519 8.8190 90.00 90.00 90.00
Last column: nearest neighbours and their distance in Å.
Space group P4/nmm (No. 129, origin choice 2)
Inequivalent atoms, fractional coordinates:
V 0.2500 0.2500 0.0818 x2  4 V 2.60, 4 Pd 2.62
Cu 0.2500 0.2500 0.4298 x2  4 Cu 2.49, 4 Pd 2.67
Pd 0.2500 0.2500 0.7491 x2  5 V 2.62-2.93, 5 Cu 2.67-2.82



10.
VCu2Pd2: optimized geometry, PBE.

Values from the calculation:
Fermi-level density of states: 4.65 states/eV per cell
volume: 135.9 Å³/cell
total magnetization: 0.0 μB per formula unit
ρ: 9.6 g cm⁻³

Lattice parameters (Å, degrees): 8.4502 3.7143 5.9309 90.00 133.10 90.00
Last column: nearest neighbours and their distance in Å.
Space group C2/m (No. 12)
Inequivalent atoms, fractional coordinates:
V 0.0000 0.0000 0.0000 x2  6 Pd 2.59-2.76, 6 Cu 2.66-2.71
Cu 0.2006 0.0000 0.5928 x4  3 Cu 2.57-2.76, 6 Pd 2.64-2.71, 3 V 2.66-2.71
Pd 0.0946 0.5000 0.8036 x4  3 V 2.59-2.76, 6 Cu 2.64-2.71, 3 Pd 2.72-2.77



11.
V2CuPd9: optimized geometry, PBE.

Values from the calculation:
Fermi-level density of states: 8.14 states/eV per cell
volume: 177.1 Å³/cell
total magnetization: 0.3 μB per formula unit
ρ: 10.5 g cm⁻³

Lattice parameters (Å, degrees): 3.8996 3.8996 11.6454 90.00 90.00 90.00
Last column: nearest neighbours and their distance in Å.
Space group P4/mmm (No. 123)
Inequivalent atoms, fractional coordinates:
V 0.0000 0.0000 0.1763 x2  12 Pd 2.63-2.83
Cu 0.0000 0.0000 0.5000 x1  12 Pd 2.76-2.79
Pd 0.0000 0.5000 0.0000 x2  8 Pd 2.73-2.76, 4 V 2.83
Pd 0.0000 0.5000 0.3284 x4  2 V 2.63, 8 Pd 2.74-2.79, 2 Cu 2.79
Pd 0.5000 0.5000 0.1636 x2  8 Pd 2.73-2.74, 4 V 2.76
Pd 0.5000 0.5000 0.5000 x1  4 Cu 2.76, 8 Pd 2.79



Number 1: energy relative to the elements -1.5 eV per formula unit. Number 2: energy relative to the elements -1.7 eV per formula unit. Number 3: energy relative to the elements 0.5 eV per formula unit. Number 4: energy relative to the elements 2.0 eV per formula unit. Number 5: energy relative to the elements -0.5 eV per formula unit. Number 6: energy relative to the elements -0.3 eV per formula unit. Number 7: energy relative to the elements 1.0 eV per formula unit. Number 8: energy relative to the elements -1.4 eV per formula unit. Number 9: energy relative to the elements -0.4 eV per formula unit. Number 10: energy relative to the elements -0.7 eV per formula unit. Number 11: energy relative to the elements -2.4 eV per formula unit.